Crystalline Er6AlAg at its relaxed geometry. Source: Alexandria, functional PBE.

Structure (extended XYZ):
```
8
Lattice="0.0000 3.5229 8.7768 3.5173 0.0000 8.7768 3.5173 3.5229 0.0000" Properties=species:S:1:pos:R:3 pbc="T T T"
Er 1.7587 1.7614 1.8977
Er 3.5173 3.5229 4.3573
Er 1.7587 1.7614 6.8791
Er 5.2760 5.2843 10.6745
Er 3.5173 3.5229 13.1963
Er 5.2760 5.2843 15.6559
Al 0.0000 0.0000 0.0000
Ag 3.5173 3.5229 8.7768
```

Properties
Fermi-level density of states, states/eV per atom: 0.95
ΔH_f (0 K), meV/atom: -154
Total moment, Bohr magnetons per cell: 0.000

Crystalline Er3Al8Ag3 at its relaxed geometry. Source: Alexandria, functional PBE.

Structure (extended XYZ):
```
14
Lattice="-2.1922 4.8571 6.3653 2.1922 -4.8571 6.3653 2.1922 4.8571 -6.3653" Properties=species:S:1:pos:R:3 pbc="T T T"
Er 0.0000 0.0000 0.0000
Er 0.0000 0.0000 3.7872
Er 0.0000 0.0000 8.9434
Al 2.1922 -1.2893 2.0240
Al 2.1922 -2.0969 4.6297
Al 2.1922 1.2893 2.0240
Al 0.0000 2.7602 1.7356
Al 2.1922 2.0969 4.6297
Al 0.0000 3.5679 4.3413
Al 0.0000 6.9540 1.7356
Al 0.0000 6.1464 4.3413
Ag 2.1922 2.9338 0.0000
Ag 0.0000 4.8571 0.0000
Ag 0.0000 1.9234 6.3653
```

Properties
Fermi-level density of states, states/eV per atom: 0.31
ΔH_f (0 K), meV/atom: -363
Total moment, Bohr magnetons per cell: 0.000

Crystalline ErAl4Ag2 at its relaxed geometry. Source: Alexandria, functional PBE.

Structure (extended XYZ):
```
14
Lattice="8.0740 0.0000 0.0000 0.0000 8.0740 0.0000 0.0000 0.0000 4.0772" Properties=species:S:1:pos:R:3 pbc="T T T"
Er 0.0000 0.0000 0.0000
Er 4.0370 4.0370 2.0386
Al 0.7048 2.7320 2.0386
Al 1.3050 4.7418 0.0000
Al 2.7320 0.7048 2.0386
Al 3.3322 6.7690 0.0000
Al 4.7418 1.3050 0.0000
Al 5.3420 7.3692 2.0386
Al 6.7690 3.3322 0.0000
Al 7.3692 5.3420 2.0386
Ag 1.6527 6.4213 2.0386
Ag 2.3843 2.3843 0.0000
Ag 5.6898 5.6898 0.0000
Ag 6.4213 1.6527 2.0386
```

Properties
Fermi-level density of states, states/eV per atom: 0.56
ΔH_f (0 K), meV/atom: -187
Offset from the most stable computed form, meV/atom: 0
Total moment, Bohr magnetons per cell: 0.000

Crystalline ErAl4Ag4 at its relaxed geometry. Source: Alexandria, functional PBE.

Structure (extended XYZ):
```
18
Lattice="6.1380 0.0000 0.0000 0.0000 6.1380 0.0000 0.0000 0.0000 9.1549" Properties=species:S:1:pos:R:3 pbc="T T T"
Er 1.5345 4.6035 2.2887
Er 4.6035 1.5345 6.8662
Al 0.1665 1.5345 0.3984
Al 1.5345 0.1665 4.9758
Al 1.5345 2.9025 4.9758
Al 2.9025 1.5345 0.3984
Al 3.2356 4.6035 8.7565
Al 4.6035 3.2356 4.1790
Al 4.6035 5.9715 4.1790
Al 5.9715 4.6035 8.7565
Ag 0.1717 1.5345 3.0737
Ag 1.5345 0.1717 7.6512
Ag 1.5345 2.8974 7.6512
Ag 2.8974 1.5345 3.0737
Ag 3.2407 4.6035 6.0811
Ag 4.6035 3.2407 1.5037
Ag 4.6035 5.9664 1.5037
Ag 5.9664 4.6035 6.0811
```

Properties
Fermi-level density of states, states/eV per atom: 0.39
ΔH_f (0 K), meV/atom: -104
Total moment, Bohr magnetons per cell: 0.000

Crystalline Er4Al2Ag at its relaxed geometry. Source: Alexandria, functional PBE.

Structure (extended XYZ):
```
7
Lattice="2.5343 1.4632 8.1844 -2.5343 1.4632 8.1844 0.0000 -2.9263 8.1844" Properties=species:S:1:pos:R:3 pbc="T T T"
Er 0.0000 0.0000 2.9575
Er 0.0000 0.0000 9.1293
Er 0.0000 0.0000 15.4238
Er 0.0000 0.0000 21.5956
Al 0.0000 0.0000 6.1209
Al 0.0000 0.0000 18.4322
Ag 0.0000 0.0000 12.2765
```

Properties
Fermi-level density of states, states/eV per atom: 0.95
ΔH_f (0 K), meV/atom: -213
Total moment, Bohr magnetons per cell: 0.000

Crystalline Er5AlAg at its relaxed geometry. Source: Alexandria, functional PBE.

Structure (extended XYZ):
```
14
Lattice="4.4466 -4.4114 0.0000 4.4466 4.4114 0.0000 -0.1275 0.0000 9.9888" Properties=species:S:1:pos:R:3 pbc="T T T"
Er 2.8982 2.4926 3.2749
Er 4.3509 3.1149 7.4916
Er 2.8390 0.7854 9.9872
Er 5.9312 2.4926 1.7195
Er 2.9028 -0.7854 4.9928
Er 5.8628 0.7854 4.9959
Er 2.8344 -2.4926 8.2693
Er 5.9266 -0.7854 0.0015
Er 4.4147 -3.1149 2.4972
Er 5.8675 -2.4926 6.7139
Al 4.3509 0.1185 7.4916
Al 4.4147 -0.1185 2.4972
Ag 0.0000 0.0000 0.0000
Ag -0.0638 0.0000 4.9944
```

Properties
Fermi-level density of states, states/eV per atom: 1.32
ΔH_f (0 K), meV/atom: -31
Total moment, Bohr magnetons per cell: 0.000

Crystalline Er4AlAg3 at its relaxed geometry. Source: Alexandria, functional PBE.

Structure (extended XYZ):
```
8
Lattice="3.5538 0.0000 0.0000 0.0000 3.5538 0.0000 0.0000 0.0000 14.7528" Properties=species:S:1:pos:R:3 pbc="T T T"
Er 0.0000 0.0000 1.8468
Er 0.0000 0.0000 5.5280
Er 0.0000 0.0000 9.2248
Er 0.0000 0.0000 12.9060
Al 1.7769 1.7769 0.0000
Ag 1.7769 1.7769 3.6770
Ag 1.7769 1.7769 7.3764
Ag 1.7769 1.7769 11.0758
```

Properties
Fermi-level density of states, states/eV per atom: 0.52
ΔH_f (0 K), meV/atom: -350
Offset from the most stable computed form, meV/atom: 0
Total moment, Bohr magnetons per cell: 0.000

Crystalline Er2Al2Ag at its relaxed geometry. Source: Alexandria, functional PBE.

Structure (extended XYZ):
```
10
Lattice="5.3782 -2.2540 0.0000 5.3782 2.2540 0.0000 -4.7697 0.0000 9.3403" Properties=species:S:1:pos:R:3 pbc="T T T"
Er -1.4783 0.0000 3.0682
Er 1.4561 0.0000 0.9400
Er 4.5306 0.0000 8.4003
Er 7.4650 0.0000 6.2721
Al 1.8174 0.0000 4.0607
Al 4.5817 0.0000 1.0785
Al 1.4049 0.0000 8.2618
Al 4.1693 0.0000 5.2796
Ag -0.1460 0.0000 6.0842
Ag 6.1327 0.0000 3.2561
```

Properties
Fermi-level density of states, states/eV per atom: 0.61
ΔH_f (0 K), meV/atom: -394
Offset from the most stable computed form, meV/atom: 0
Total moment, Bohr magnetons per cell: 0.000

Crystalline Er3Al3Ag at its relaxed geometry. Source: Alexandria, functional PBE.

Structure (extended XYZ):
```
14
Lattice="5.4166 -2.2366 0.0000 5.4166 2.2366 0.0000 -4.8043 0.0000 13.4473" Properties=species:S:1:pos:R:3 pbc="T T T"
Er -1.4967 0.0000 5.1040
Er -3.3257 0.0000 12.4037
Er 1.5041 0.0000 3.0007
Er 4.5248 0.0000 10.4466
Er 9.3546 0.0000 1.0437
Er 7.5256 0.0000 8.3433
Al 1.8282 0.0000 6.1322
Al -0.2187 0.0000 12.4428
Al 1.3921 0.0000 10.3346
Al 4.6368 0.0000 3.1128
Al 6.2476 0.0000 1.0046
Al 4.2007 0.0000 7.3151
Ag -0.1476 0.0000 8.1321
Ag 6.1765 0.0000 5.3152
```

Properties
Fermi-level density of states, states/eV per atom: 0.71
ΔH_f (0 K), meV/atom: -387
Total moment, Bohr magnetons per cell: 0.000

Crystalline ErAl6Ag at its relaxed geometry. Source: Alexandria, functional PBE.

Structure (extended XYZ):
```
8
Lattice="4.1795 -4.1892 0.0000 4.1795 4.1892 0.0000 0.0000 0.0000 4.2221" Properties=species:S:1:pos:R:3 pbc="T T T"
Er 0.0000 0.0000 0.0000
Al 2.0897 2.0946 0.0000
Al 2.1252 0.0000 2.1111
Al 4.1795 2.0628 2.1111
Al 2.0897 -2.0946 0.0000
Al 4.1795 -2.0628 2.1111
Al 6.2338 0.0000 2.1111
Ag 4.1795 0.0000 0.0000
```

Properties
Fermi-level density of states, states/eV per atom: 0.34
ΔH_f (0 K), meV/atom: -82
Total moment, Bohr magnetons per cell: 0.000

Crystalline ErAl2Ag5 at its relaxed geometry. Source: Alexandria, functional PBE.

Structure (extended XYZ):
```
8
Lattice="-1.8223 3.9501 5.3600 1.8223 -3.9501 5.3600 1.8223 3.9501 -5.3600" Properties=species:S:1:pos:R:3 pbc="T T T"
Er 0.0000 0.0000 0.0000
Al 1.8223 0.0000 2.6481
Al 0.0000 3.9501 2.7119
Ag 1.8223 2.2974 -1.4806
Ag 1.8223 2.2974 1.4806
Ag 0.0000 3.9501 0.0000
Ag 0.0000 1.6527 3.8794
Ag 0.0000 1.6527 6.8406
```

Properties
Fermi-level density of states, states/eV per atom: 0.44
ΔH_f (0 K), meV/atom: -137
Total moment, Bohr magnetons per cell: 0.000

Crystalline Er6AlAg5 at its relaxed geometry. Source: Alexandria, functional PBE.

Structure (extended XYZ):
```
12
Lattice="2.5391 -7.6218 0.0000 2.5391 7.6218 0.0000 0.0000 0.0000 7.2613" Properties=species:S:1:pos:R:3 pbc="T T T"
Er 0.0000 0.0000 1.7953
Er 0.0000 0.0000 5.4659
Er 2.5391 2.5418 1.8182
Er 2.5391 2.5418 5.4431
Er 2.5391 -2.5418 1.8182
Er 2.5391 -2.5418 5.4431
Al 2.5391 0.0000 3.6306
Ag 2.5391 5.1766 3.6306
Ag 2.5391 5.0604 0.0000
Ag 2.5391 0.0000 0.0000
Ag 2.5391 -5.0604 0.0000
Ag 2.5391 -5.1766 3.6306
```

Properties
Fermi-level density of states, states/eV per atom: 0.61
ΔH_f (0 K), meV/atom: -341
Total moment, Bohr magnetons per cell: 0.000